# 1
{"formula": "Na2UInTe5", "functional": "PBE-GGA", "state": "optimized geometry", "spacegroup": "No. 36", "volume_a3_per_cell": 650, "formation_energy_uncorrected_ev_per_atom": -0.597, "mass_density_g_cm3": 5.3, "lattice_angstrom": [[2.2207, -9.7092, 0.0000], [2.2207, 9.7092, 0.0000], [0.0000, 0.0000, 15.0822]], "species": ["Na", "Na", "Na", "Na", "U", "U", "In", "In", "Te", "Te", "Te", "Te", "Te", "Te", "Te", "Te", "Te", "Te"], "frac_coords": [[0.0916, 0.9084, 0.5000], [0.0959, 0.9041, 0.8115], [0.9041, 0.0959, 0.3115], [0.9084, 0.0916, 0.0000], [0.2311, 0.7689, 0.1792], [0.7689, 0.2311, 0.6792], [0.4208, 0.5792, 0.5745], [0.5792, 0.4208, 0.0745], [0.0709, 0.9291, 0.1963], [0.2721, 0.7279, 0.8113], [0.2738, 0.7262, 0.5392], [0.3779, 0.6221, 0.1566], [0.4920, 0.5080, 0.4183], [0.5080, 0.4920, 0.9183], [0.6221, 0.3779, 0.6566], [0.7262, 0.2738, 0.0392], [0.7279, 0.2721, 0.3113], [0.9291, 0.0709, 0.6963]]}



# 2
{"formula": "FeTePtN2", "functional": "PBE-GGA", "state": "optimized geometry", "spacegroup": "No. 123", "polymorph_energy_ev_per_atom": 0.403, "volume_a3_per_cell": 116, "formation_energy_uncorrected_ev_per_atom": 1.269, "mass_density_g_cm3": 5.8, "lattice_angstrom": [[3.7518, 0.0000, 0.0000], [0.0000, 3.7518, 0.0000], [0.0000, 0.0000, 8.2629]], "species": ["Fe", "Te", "Pt", "N", "N"], "frac_coords": [[0.0000, 0.0000, 0.0000], [0.5000, 0.5000, 0.0000], [0.5000, 0.5000, 0.5000], [0.0000, 0.5000, 0.5000], [0.5000, 0.0000, 0.5000]]}



# 3
{"formula": "RbRhPb2", "functional": "PBE-GGA", "state": "optimized geometry", "spacegroup": "No. 225", "volume_a3_per_cell": 103, "mass_density_g_cm3": 9.7, "delta_e_f_kj_per_mol_atoms": 32.69, "lattice_angstrom": [[0.0000, 3.7199, 3.7199], [3.7199, 0.0000, 3.7199], [3.7199, 3.7199, 0.0000]], "species": ["Rb", "Rh", "Pb", "Pb"], "frac_coords": [[0.0000, 0.0000, 0.0000], [0.5000, 0.5000, 0.5000], [0.2500, 0.2500, 0.2500], [0.7500, 0.7500, 0.7500]]}



# 4
{"formula": "LiMo2PW", "functional": "PBE-GGA", "state": "optimized geometry", "spacegroup": "No. 123", "volume_a3_per_cell": 104, "mass_density_g_cm3": 6.6, "delta_e_f_kj_per_mol_atoms": 171.87, "lattice_angstrom": [[4.7148, 0.0000, 0.0000], [0.0000, 4.7148, 0.0000], [0.0000, 0.0000, 4.6563]], "species": ["Li", "Mo", "Mo", "P", "W"], "frac_coords": [[0.0000, 0.0000, 0.0000], [0.0000, 0.5000, 0.5000], [0.5000, 0.0000, 0.5000], [0.5000, 0.5000, 0.0000], [0.0000, 0.0000, 0.5000]]}



# 5
{"formula": "KNpNi2Se4", "functional": "PBE-GGA", "state": "optimized geometry", "spacegroup": "No. 23", "volume_a3_per_cell": 173, "formation_energy_uncorrected_ev_per_atom": -0.463, "mass_density_g_cm3": 6.8, "lattice_angstrom": [[-3.3132, 3.3917, 3.8567], [3.3132, -3.3917, 3.8567], [3.3132, 3.3917, -3.8567]], "species": ["K", "Np", "Ni", "Ni", "Se", "Se", "Se", "Se"], "frac_coords": [[0.0000, 0.0000, 0.0000], [0.5000, 0.5000, 0.0000], [0.3227, 0.8227, 0.5000], [0.6773, 0.1773, 0.5000], [0.0172, 0.0208, 0.5158], [0.4951, 0.9792, 0.9965], [0.5049, 0.5014, 0.4842], [0.9828, 0.4986, 0.0035]]}



# 6
{"formula": "SmYSnRu", "functional": "PBE-GGA", "state": "optimized geometry", "spacegroup": "No. 216", "volume_a3_per_cell": 96, "mass_density_g_cm3": 8.0, "delta_e_f_kj_per_mol_atoms": -36.09, "lattice_angstrom": [[0.0000, 3.6282, 3.6282], [3.6282, 0.0000, 3.6282], [3.6282, 3.6282, 0.0000]], "species": ["Sm", "Y", "Sn", "Ru"], "frac_coords": [[0.0000, 0.0000, 0.0000], [0.5000, 0.5000, 0.5000], [0.2500, 0.2500, 0.2500], [0.7500, 0.7500, 0.7500]]}



# 7
{"formula": "SrMg2Cr", "functional": "PBE-GGA", "state": "optimized geometry", "spacegroup": "No. 225", "volume_a3_per_cell": 98, "mass_density_g_cm3": 3.2, "delta_e_f_kj_per_mol_atoms": 77.52, "lattice_angstrom": [[0.0000, 3.6548, 3.6548], [3.6548, 0.0000, 3.6548], [3.6548, 3.6548, 0.0000]], "species": ["Sr", "Mg", "Mg", "Cr"], "frac_coords": [[0.0000, 0.0000, 0.0000], [0.2500, 0.2500, 0.2500], [0.7500, 0.7500, 0.7500], [0.5000, 0.5000, 0.5000]]}



# 8
{"formula": "LiZrPaRe", "functional": "PBE-GGA", "state": "optimized geometry", "spacegroup": "No. 216", "volume_a3_per_cell": 78, "mass_density_g_cm3": 11.0, "delta_e_f_kj_per_mol_atoms": 4.68, "lattice_angstrom": [[0.0000, 3.3911, 3.3911], [3.3911, 0.0000, 3.3911], [3.3911, 3.3911, 0.0000]], "species": ["Li", "Zr", "Pa", "Re"], "frac_coords": [[0.0000, 0.0000, 0.0000], [0.2500, 0.2500, 0.2500], [0.7500, 0.7500, 0.7500], [0.5000, 0.5000, 0.5000]]}